P) DFT (PBE) results for an optimized crystal structure of ScTiAsSe2.

As for the space group: P4/mmm, No. 123. The magnetic moment is 0.1 Bohr magnetons per cell.

Unit cell a=5.0401 b=5.0401 c=5.0722 alpha=90.00 beta=90.00 gamma=90.00
Last column: nearest neighbours and their distance in Å.
Atoms (fractional coordinates):
As 0.0000 0.0000 0.5000  2 Sc 2.54
Sc 0.0000 0.0000 0.0000  4 Se 2.52, 2 As 2.54
Se 0.0000 0.5000 0.0000  2 Sc 2.52
Se 0.5000 0.0000 0.0000  2 Sc 2.52
Ti 0.5000 0.5000 0.5000  4 As 3.56, 8 Se 3.58



Q) DFT (PBE) results for an optimized crystal structure of ScTiAsSe2.

As for the space group: P4/mmm, No. 123. The magnetic moment is 0.0 Bohr magnetons per cell.

Unit cell a=4.8671 b=4.8671 c=4.9509 alpha=90.00 beta=90.00 gamma=90.00
Last column: nearest neighbours and their distance in Å.
Atoms (fractional coordinates):
Sc 0.5000 0.5000 0.5000  4 As 3.44, 8 Se 3.47
Se 0.5000 0.0000 0.0000  2 Ti 2.43
As 0.0000 0.0000 0.5000  2 Ti 2.48
Se 0.0000 0.5000 0.0000  2 Ti 2.43
Ti 0.0000 0.0000 0.0000  4 Se 2.43, 2 As 2.48



Least stable structure: P)



P) DFT (PBE) results for an optimized crystal structure of ScTlAsSe2.

As for the space group: P4/mmm, No. 123. The magnetic moment is 0.5 Bohr magnetons per cell.

Unit cell a=5.2238 b=5.2238 c=5.2405 alpha=90.00 beta=90.00 gamma=90.00
Last column: nearest neighbours and their distance in Å.
Atoms (fractional coordinates):
Sc 0.0000 0.0000 0.0000  4 Se 2.61, 2 As 2.62
As 0.0000 0.0000 0.5000  2 Sc 2.62
Se 0.5000 0.0000 0.0000  2 Sc 2.61
Se 0.0000 0.5000 0.0000  2 Sc 2.61
Tl 0.5000 0.5000 0.5000  4 As 3.69, 8 Se 3.70



Q) DFT (PBE) results for an optimized crystal structure of ScTlAsSe2.

As for the space group: P4/mmm, No. 123. The magnetic moment is 0.0 Bohr magnetons per cell.

Unit cell a=5.2959 b=5.2959 c=5.2017 alpha=90.00 beta=90.00 gamma=90.00
Last column: nearest neighbours and their distance in Å.
Atoms (fractional coordinates):
Sc 0.5000 0.5000 0.5000  8 Se 3.71, 4 As 3.74
Se 0.5000 0.0000 0.0000  2 Tl 2.65
Tl 0.0000 0.0000 0.0000  2 As 2.60, 4 Se 2.65
Se 0.0000 0.5000 0.0000  2 Tl 2.65
As 0.0000 0.0000 0.5000  2 Tl 2.60



Least stable structure: Q)



P) DFT (PBE) results for an optimized crystal structure of ScTlAs2Se.

As for the space group: P4/mmm, No. 123. The magnetic moment is 0.0 Bohr magnetons per cell.

Unit cell a=5.1967 b=5.1967 c=5.2234 alpha=90.00 beta=90.00 gamma=90.00
Last column: nearest neighbours and their distance in Å.
Atoms (fractional coordinates):
Tl 0.5000 0.5000 0.5000  4 Se 3.67, 8 As 3.68
As 0.0000 0.5000 0.0000  2 Sc 2.60
Sc 0.0000 0.0000 0.0000  4 As 2.60, 2 Se 2.61
As 0.5000 0.0000 0.0000  2 Sc 2.60
Se 0.0000 0.0000 0.5000  2 Sc 2.61



Q) DFT (PBE) results for an optimized crystal structure of ScTlAs2Se.

As for the space group: P4/mmm, No. 123. The magnetic moment is 0.0 Bohr magnetons per cell.

Unit cell a=5.2084 b=5.2084 c=5.3218 alpha=90.00 beta=90.00 gamma=90.00
Last column: nearest neighbours and their distance in Å.
Atoms (fractional coordinates):
As 0.0000 0.5000 0.0000  2 Tl 2.60
As 0.5000 0.0000 0.0000  2 Tl 2.60
Tl 0.0000 0.0000 0.0000  4 As 2.60, 2 Se 2.66
Se 0.0000 0.0000 0.5000  2 Tl 2.66
Sc 0.5000 0.5000 0.5000  4 Se 3.68, 8 As 3.72



Least stable structure: Q)



P) DFT (PBE) results for an optimized crystal structure of ScAs2WSe.

As for the space group: P4/mmm, No. 123. The magnetic moment is 0.5 Bohr magnetons per cell.

Unit cell a=4.8352 b=4.8352 c=5.0915 alpha=90.00 beta=90.00 gamma=90.00
Last column: nearest neighbours and their distance in Å.
Atoms (fractional coordinates):
As 0.5000 0.0000 0.0000  2 W 2.42
Sc 0.5000 0.5000 0.5000  4 Se 3.42, 8 As 3.51
W 0.0000 0.0000 0.0000  4 As 2.42, 2 Se 2.55
Se 0.0000 0.0000 0.5000  2 W 2.55
As 0.0000 0.5000 0.0000  2 W 2.42



Q) DFT (PBE) results for an optimized crystal structure of ScAs2WSe.

As for the space group: P4/mmm, No. 123. The magnetic moment is 3.3 Bohr magnetons per cell.

Unit cell a=5.0136 b=5.0136 c=4.9949 alpha=90.00 beta=90.00 gamma=90.00
Last column: nearest neighbours and their distance in Å.
Atoms (fractional coordinates):
W 0.5000 0.5000 0.5000  8 As 3.54, 4 Se 3.55
Sc 0.0000 0.0000 0.0000  2 Se 2.50, 4 As 2.51
As 0.5000 0.0000 0.0000  2 Sc 2.51
Se 0.0000 0.0000 0.5000  2 Sc 2.50
As 0.0000 0.5000 0.0000  2 Sc 2.51



Least stable structure: Q)



P) DFT (PBE) results for an optimized crystal structure of ScAsWSe2.

As for the space group: P4/mmm, No. 123. The magnetic moment is 0.7 Bohr magnetons per cell.

Unit cell a=4.9213 b=4.9213 c=4.9350 alpha=90.00 beta=90.00 gamma=90.00
Last column: nearest neighbours and their distance in Å.
Atoms (fractional coordinates):
Se 0.0000 0.5000 0.0000  2 W 2.46
As 0.0000 0.0000 0.5000  2 W 2.47
Sc 0.5000 0.5000 0.5000  4 As 3.48, 8 Se 3.48
Se 0.5000 0.0000 0.0000  2 W 2.46
W 0.0000 0.0000 0.0000  4 Se 2.46, 2 As 2.47



Q) DFT (PBE) results for an optimized crystal structure of ScAsWSe2.

As for the space group: P4/mmm, No. 123. The magnetic moment is 2.9 Bohr magnetons per cell.

Unit cell a=5.0135 b=5.0135 c=5.0778 alpha=90.00 beta=90.00 gamma=90.00
Last column: nearest neighbours and their distance in Å.
Atoms (fractional coordinates):
Se 0.0000 0.5000 0.0000  2 Sc 2.51
As 0.0000 0.0000 0.5000  2 Sc 2.54
W 0.5000 0.5000 0.5000  4 As 3.55, 8 Se 3.57
Se 0.5000 0.0000 0.0000  2 Sc 2.51
Sc 0.0000 0.0000 0.0000  4 Se 2.51, 2 As 2.54



Least stable structure: Q)



P) DFT (PBE) results for an optimized crystal structure of YScAsSe2.

As for the space group: P4/mmm, No. 123. The magnetic moment is 0.0 Bohr magnetons per cell.

Unit cell a=5.0663 b=5.0663 c=5.1002 alpha=90.00 beta=90.00 gamma=90.00
Last column: nearest neighbours and their distance in Å.
Atoms (fractional coordinates):
As 0.0000 0.0000 0.5000  2 Sc 2.55
Se 0.5000 0.0000 0.0000  2 Sc 2.53
Sc 0.0000 0.0000 0.0000  4 Se 2.53, 2 As 2.55
Se 0.0000 0.5000 0.0000  2 Sc 2.53
Y 0.5000 0.5000 0.5000  4 As 3.58, 8 Se 3.59



Q) DFT (PBE) results for an optimized crystal structure of YScAsSe2.

As for the space group: P4/mmm, No. 123. The magnetic moment is 0.0 Bohr magnetons per cell.

Unit cell a=5.3284 b=5.3284 c=5.3790 alpha=90.00 beta=90.00 gamma=90.00
Last column: nearest neighbours and their distance in Å.
Atoms (fractional coordinates):
As 0.0000 0.0000 0.5000  2 Y 2.69
Sc 0.5000 0.5000 0.5000  4 As 3.77, 8 Se 3.79
Y 0.0000 0.0000 0.0000  4 Se 2.66, 2 As 2.69
Se 0.5000 0.0000 0.0000  2 Y 2.66
Se 0.0000 0.5000 0.0000  2 Y 2.66



R) DFT (PBE) results for an optimized crystal structure of YScAsSe2.

As for the space group: P4/mmm, No. 123. The magnetic moment is 1.4 Bohr magnetons per cell.

Unit cell a=5.2634 b=5.2255 c=5.2634 alpha=90.00 beta=90.00 gamma=90.00
Last column: nearest neighbours and their distance in Å.
Atoms (fractional coordinates):
Se 0.0000 0.0000 0.5000  2 As 2.63
Y 0.0000 0.5000 0.0000  2 As 2.61
As 0.0000 0.0000 0.0000  2 Y 2.61, 4 Se 2.63
Sc 0.5000 0.5000 0.5000  8 Se 3.71, 4 Y 3.72
Se 0.5000 0.0000 0.0000  2 As 2.63



Least stable structure: R)



P) DFT (PBE) results for an optimized crystal structure of ScZnAsSe2.

As for the space group: P4/mmm, No. 123. The magnetic moment is 0.4 Bohr magnetons per cell.

Unit cell a=5.1066 b=5.1066 c=5.2397 alpha=90.00 beta=90.00 gamma=90.00
Last column: nearest neighbours and their distance in Å.
Atoms (fractional coordinates):
Se 0.5000 0.0000 0.0000  2 Sc 2.55
As 0.0000 0.0000 0.5000  2 Sc 2.62
Se 0.0000 0.5000 0.0000  2 Sc 2.55
Sc 0.0000 0.0000 0.0000  4 Se 2.55, 2 As 2.62
Zn 0.5000 0.5000 0.5000  4 As 3.61, 8 Se 3.66



Q) DFT (PBE) results for an optimized crystal structure of ScZnAsSe2.

As for the space group: P4/mmm, No. 123. The magnetic moment is 0.0 Bohr magnetons per cell.

Unit cell a=4.9340 b=4.9340 c=4.7266 alpha=90.00 beta=90.00 gamma=90.00
Last column: nearest neighbours and their distance in Å.
Atoms (fractional coordinates):
Se 0.0000 0.5000 0.0000  2 Zn 2.47
Sc 0.5000 0.5000 0.5000  8 Se 3.42, 4 As 3.49
Zn 0.0000 0.0000 0.0000  2 As 2.36, 4 Se 2.47
Se 0.5000 0.0000 0.0000  2 Zn 2.47
As 0.0000 0.0000 0.5000  2 Zn 2.36



Least stable structure: Q)



P) DFT (PBE) results for an optimized crystal structure of Sc2SnAs.

As for the space group: R-3m, No. 166. The magnetic moment is 0.0 Bohr magnetons per cell.

Unit cell a=3.7769 b=3.7769 c=7.7087 alpha=75.82 beta=75.82 gamma=60.00
Last column: nearest neighbours and their distance in Å.
Atoms (fractional coordinates):
Sc 0.7370 0.7370 0.7889  3 As 2.68
Sc 0.2630 0.2630 0.2111  3 As 2.68
Sn 0.5000 0.5000 0.5000  6 Sc 3.05
As 0.0000 0.0000 0.0000  6 Sc 2.68



Q) DFT (PBE) results for an optimized crystal structure of Sc2SnAs.

As for the space group: Fm-3m, No. 225. The magnetic moment is 0.0 Bohr magnetons per cell.

Unit cell a=4.9636 b=4.9636 c=4.9636 alpha=60.00 beta=60.00 gamma=60.00
Last column: nearest neighbours and their distance in Å.
Atoms (fractional coordinates):
As 0.0000 0.0000 0.0000  8 Sc 3.04
Sn 0.5000 0.5000 0.5000  8 Sc 3.04
Sc 0.7500 0.7500 0.7500  4 As 3.04, 4 Sn 3.04
Sc 0.2500 0.2500 0.2500  4 As 3.04, 4 Sn 3.04



Least stable structure: Q)



P) DFT (PBE) results for an optimized crystal structure of Sc2SnAs.

As for the space group: R-3m, No. 166. The magnetic moment is 0.0 Bohr magnetons per cell.

Unit cell a=10.3980 b=10.3980 c=10.3980 alpha=18.10 beta=18.10 gamma=18.10
Last column: nearest neighbours and their distance in Å.
Atoms (fractional coordinates):
Sc 0.9140 0.9140 0.9140  1 As 2.64
Sn 0.5000 0.5000 0.5000  6 Sc 3.11, 6 Sn 3.27
As 0.0000 0.0000 0.0000  2 Sc 2.64
Sc 0.0860 0.0860 0.0860  1 As 2.64



Q) DFT (PBE) results for an optimized crystal structure of Sc2SnAs.

As for the space group: R3m, No. 160. The magnetic moment is 0.0 Bohr magnetons per cell.

Unit cell a=3.7240 b=3.7240 c=7.9368 alpha=76.43 beta=76.43 gamma=60.00
Last column: nearest neighbours and their distance in Å.
Atoms (fractional coordinates):
Sn 0.4994 0.4994 0.5017  6 Sc 3.11-3.12
As 0.6677 0.6677 0.9970  6 Sc 2.64-2.68
Sc 0.0682 0.0682 0.7954  3 As 2.64
Sc 0.2647 0.2647 0.2059  3 As 2.68



R) DFT (PBE) results for an optimized crystal structure of Sc2SnAs.

As for the space group: I-42d, No. 122. The magnetic moment is 0.0 Bohr magnetons per cell.

Unit cell a=7.5460 b=7.5460 c=6.2392 alpha=52.79 beta=52.79 gamma=90.00
Last column: nearest neighbours and their distance in Å.
Atoms (fractional coordinates):
Sc 0.8750 0.8467 0.7500  2 As 2.65, 2 Sn 2.94
Sc 0.5967 0.1250 0.2500  2 As 2.65, 2 Sn 2.94
Sc 0.3750 0.4033 0.7500  2 As 2.65, 2 Sn 2.94
Sn 0.0000 0.0000 0.0000  4 Sc 2.94, 2 As 3.23
As 0.2500 0.7500 0.5000  4 Sc 2.65
Sc 0.1533 0.6250 0.2500  2 As 2.65, 2 Sn 2.94
As 0.5000 0.5000 0.0000  4 Sc 2.65
Sn 0.7500 0.2500 0.5000  4 Sc 2.94, 2 As 3.23



Least stable structure: P)



P) DFT (PBE) results for an optimized crystal structure of Sc3SnAs.

As for the space group: Pm-3m, No. 221. The magnetic moment is 0.0 Bohr magnetons per cell.

Unit cell a=4.9910 b=4.9910 c=4.9910 alpha=90.00 beta=90.00 gamma=90.00
Last column: nearest neighbours and their distance in Å.
Atoms (fractional coordinates):
Sc 0.0000 0.0000 0.5000  2 As 2.50
Sc 0.5000 0.0000 0.0000  2 As 2.50
Sc 0.0000 0.5000 0.0000  2 As 2.50
Sn 0.5000 0.5000 0.5000  12 Sc 3.53
As 0.0000 0.0000 0.0000  6 Sc 2.50



Q) DFT (PBE) results for an optimized crystal structure of Sc3SnAs.

As for the space group: Cmmm, No. 65. The magnetic moment is 0.0 Bohr magnetons per cell.

Unit cell a=3.7475 b=8.2233 c=8.2227 alpha=72.18 beta=90.00 gamma=90.00
Last column: nearest neighbours and their distance in Å.
Atoms (fractional coordinates):
As 0.3631 0.6940 0.2466  6 Sc 2.58-2.61
Sn 0.8631 0.1943 0.2462  8 Sc 3.07-3.43
Sn 0.3633 0.6941 0.7464  8 Sc 3.06-3.07
Sc 0.8631 0.6274 0.0547  2 As 2.61
Sc 0.8635 0.3857 0.8138  2 As 2.61
Sc 0.3631 0.0113 0.0637  2 As 2.58
Sc 0.8631 0.7613 0.4380  2 As 2.61
Sc 0.3632 0.3766 0.4291  2 As 2.58
Sc 0.8635 0.0025 0.6795  2 As 2.61
As 0.3635 0.1942 0.7465  6 Sc 2.58-2.61



Least stable structure: P)



P) DFT (PBE) results for an optimized crystal structure of ScTaTcAs2.

As for the space group: P4/mmm, No. 123. The magnetic moment is 0.0 Bohr magnetons per cell.

Unit cell a=4.7681 b=4.8788 c=4.7681 alpha=90.00 beta=90.00 gamma=90.00
Last column: nearest neighbours and their distance in Å.
Atoms (fractional coordinates):
Tc 0.0000 0.0000 0.0000  4 As 2.38, 2 Ta 2.44
Sc 0.5000 0.5000 0.5000  4 Ta 3.37, 8 As 3.41
As 0.0000 0.0000 0.5000  2 Tc 2.38
Ta 0.0000 0.5000 0.0000  2 Tc 2.44
As 0.5000 0.0000 0.0000  2 Tc 2.38



Q) DFT (PBE) results for an optimized crystal structure of ScTaTcAs2.

As for the space group: P4/mmm, No. 123. The magnetic moment is 2.7 Bohr magnetons per cell.

Unit cell a=4.7615 b=4.8277 c=4.7615 alpha=90.00 beta=90.00 gamma=90.00
Last column: nearest neighbours and their distance in Å.
Atoms (fractional coordinates):
As 0.5000 0.0000 0.0000  2 Tc 2.38
Sc 0.0000 0.5000 0.0000  2 Tc 2.41
Ta 0.5000 0.5000 0.5000  4 Sc 3.37, 8 As 3.39
As 0.0000 0.0000 0.5000  2 Tc 2.38
Tc 0.0000 0.0000 0.0000  4 As 2.38, 2 Sc 2.41



Least stable structure: Q)



P) DFT (PBE) results for an optimized crystal structure of ScTcAs2.

As for the space group: I-42d, No. 122. The magnetic moment is 0.0 Bohr magnetons per cell.

Unit cell a=5.5198 b=5.5198 c=7.4804 alpha=68.35 beta=68.35 gamma=90.00
Last column: nearest neighbours and their distance in Å.
Atoms (fractional coordinates):
Tc 0.7500 0.2500 0.5000  4 As 2.39
As 0.8750 0.9223 0.7500  2 Tc 2.39, 2 Sc 2.67
Tc 0.0000 0.0000 0.0000  4 As 2.39
As 0.6723 0.1250 0.2500  2 Tc 2.39, 2 Sc 2.67
As 0.3750 0.3277 0.7500  2 Tc 2.39, 2 Sc 2.67
Sc 0.2500 0.7500 0.5000  4 As 2.67
As 0.0777 0.6250 0.2500  2 Tc 2.39, 2 Sc 2.67
Sc 0.5000 0.5000 0.0000  4 As 2.67



Q) DFT (PBE) results for an optimized crystal structure of ScTcAs2.

As for the space group: F-43m, No. 216. The magnetic moment is 0.0 Bohr magnetons per cell.

Unit cell a=4.5614 b=4.5614 c=4.5614 alpha=60.00 beta=60.00 gamma=60.00
Last column: nearest neighbours and their distance in Å.
Atoms (fractional coordinates):
Tc 0.2500 0.2500 0.2500  4 Sc 2.79, 4 As 2.79
As 0.0000 0.0000 0.0000  4 Tc 2.79, 4 As 2.79
Sc 0.5000 0.5000 0.5000  4 As 2.79, 4 Tc 2.79
As 0.7500 0.7500 0.7500  4 As 2.79, 4 Sc 2.79



R) DFT (PBE) results for an optimized crystal structure of ScTcAs2.

As for the space group: P4/mmm, No. 123. The magnetic moment is 0.0 Bohr magnetons per cell.

Unit cell a=3.1142 b=3.1142 c=6.8072 alpha=90.00 beta=90.00 gamma=90.00
Last column: nearest neighbours and their distance in Å.
Atoms (fractional coordinates):
Sc 0.5000 0.5000 0.2500  8 As 2.90, 4 Sc 3.11
As 0.0000 0.0000 0.5282  4 Tc 2.67, 4 Sc 2.90
Tc 0.5000 0.5000 0.7500  8 As 2.67
As 0.0000 0.0000 0.9718  4 Tc 2.67, 4 Sc 2.90



S) DFT (PBE) results for an optimized crystal structure of ScTcAs2.

As for the space group: Pm, No. 6. The magnetic moment is 0.0 Bohr magnetons per cell.

Unit cell a=4.5990 b=3.2289 c=4.8994 alpha=71.15 beta=90.00 gamma=90.00
Last column: nearest neighbours and their distance in Å.
Atoms (fractional coordinates):
As 0.5000 0.0353 0.3145  3 Tc 2.57-2.63, 4 Sc 2.82-2.83
Tc 0.5000 0.7477 0.8820  7 As 2.57-2.84
Sc 0.0000 0.5007 0.3780  7 As 2.54-2.83
As 0.0000 0.2163 0.9255  3 Sc 2.54-2.66, 4 Tc 2.80-2.84



Least stable structure: Q)